VASP calculation (GGA+U) on an optimized crystal structure of MoPdRhO2.

Properties
DOS at the Fermi energy = 2.9 states/eV/cell
V = 15.60 Å³/atom
E = -0.412 Ry per atom
Calculated density = 7.18 Mg/m³

Cell lengths 3.8787, 3.8787, 5.1847 Å; angles 90.00, 90.00, 90.00 degrees
Atoms (fractional coordinates):
Mo: 0.0000 0.0000 0.0000
Pd: 0.5000 0.5000 0.0000
Rh: 0.5000 0.5000 0.5000
O: 0.0000 0.5000 0.5000
O: 0.5000 0.0000 0.5000